VASP calculation (PBE) on a relaxed Ti5Se2S crystal.

Structure (extended XYZ):
```
16
Lattice="-4.085 -2.215 -0.212 2.771 -0.777 5.777 -5.143 9.131 3.695" Properties=species:S:1:pos:R:3 pbc="T T T"
Ti -5.951 5.343 7.823
Ti -4.644 3.022 6.884
Ti -1.929 3.063 5.183
Ti 0.251 -0.808 3.617
Ti -3.040 0.429 3.062
Ti -3.417 5.709 6.198
Ti -4.528 3.076 4.077
Ti -6.708 6.946 5.644
Ti -0.506 0.796 1.437
Ti -1.813 3.116 2.376
Se -3.537 1.098 5.646
Se -2.020 -1.596 4.556
Se -2.920 5.040 3.614
Se -4.437 7.734 4.704
S -5.536 4.799 5.498
S -0.921 1.339 3.762
```

Values from the calculation:
energy	-0.255	hartree per atom
size of the total moment	0.00	μB per cell
formation energy without anion corrections	-0.627	eV/atom

---

VASP calculation (PBE) on a relaxed Ti3Se2S4 crystal.

Structure (extended XYZ):
```
9
Lattice="-0.655 -0.954 -3.187 0.348 -2.337 2.431 -20.465 1.012 3.901" Properties=species:S:1:pos:R:3 pbc="T T T"
Ti -20.052 0.991 3.822
Ti -6.744 0.333 1.286
Ti -13.616 -0.758 1.220
Se -1.525 -1.355 -1.084
Se -18.754 -0.504 2.200
S -11.829 0.585 2.255
S -8.532 -1.009 0.251
S -5.594 -1.154 -0.309
S -14.767 0.730 2.815
```

Values from the calculation:
ΔE to the lowest computed polymorph	3.449	kcal/mol of atoms
energy	-0.232	hartree per atom
size of the total moment	0.00	μB per cell
formation energy without anion corrections	-1.080	eV/atom

---

VASP calculation (PBE) on a relaxed Ti4SeS crystal.

Structure (extended XYZ):
```
12
Lattice="5.249 0.000 0.000 0.000 6.787 -0.519 0.000 -3.180 6.215" Properties=species:S:1:pos:R:3 pbc="T T T"
Ti 1.133 5.028 0.595
Ti 1.491 1.634 0.854
Ti 4.109 3.538 1.528
Ti 1.484 3.463 3.909
Ti 3.765 0.145 1.787
Ti 1.140 0.069 4.169
Ti 3.758 1.974 4.842
Ti 4.115 -1.420 5.102
Se 0.000 1.804 2.848
Se 2.624 -1.590 3.108
S 2.624 3.394 -0.259
S 0.000 0.000 0.000
```

Values from the calculation:
energy	-0.264	hartree per atom
size of the total moment	0.00	μB per cell
formation energy without anion corrections	-0.663	eV/atom

---

VASP calculation (PBE) on a relaxed Ti3SeS crystal.

Structure (extended XYZ):
```
10
Lattice="-2.737 -1.938 -0.468 3.786 -5.780 1.785 -1.298 3.062 7.155" Properties=species:S:1:pos:R:3 pbc="T T T"
Ti 3.071 -4.750 1.700
Ti -3.320 0.094 6.770
Ti 1.648 -3.813 6.141
Ti -1.897 -0.842 2.330
Ti 0.982 -2.214 3.418
Ti -1.231 -2.442 5.052
Se -0.356 -2.801 1.429
Se 0.108 -1.855 7.042
S -2.569 -0.443 4.604
S 2.320 -4.213 3.867
```

Values from the calculation:
ΔE to the lowest computed polymorph	0.000	kcal/mol of atoms
energy	-0.258	hartree per atom
size of the total moment	0.03	μB per cell
formation energy without anion corrections	-0.768	eV/atom

---

VASP calculation (PBE) on a relaxed Ti2Se3S crystal.

Structure (extended XYZ):
```
12
Lattice="6.610 0.000 0.000 0.000 6.064 -3.501 0.000 0.000 7.003" Properties=species:S:1:pos:R:3 pbc="T T T"
Ti 0.000 0.000 0.000
Ti 0.000 3.032 -1.751
Ti 0.000 0.000 3.501
Ti 0.000 3.032 1.751
Se 5.034 1.009 5.255
Se 5.034 4.047 3.501
Se 5.034 1.009 1.747
Se 1.576 5.056 1.754
Se 1.576 5.056 -1.754
Se 1.576 2.017 0.000
S 1.356 2.021 3.501
S 5.254 4.043 0.000
```

Values from the calculation:
energy	-0.229	hartree per atom
size of the total moment	0.00	μB per cell
formation energy without anion corrections	-1.158	eV/atom

---

VASP calculation (PBE) on a relaxed Ti6SeS3 crystal.

Structure (extended XYZ):
```
20
Lattice="6.095 0.000 0.000 0.000 7.407 -0.358 0.000 -2.002 7.141" Properties=species:S:1:pos:R:3 pbc="T T T"
Ti 0.901 4.027 4.279
Ti 3.949 3.272 4.880
Ti 1.749 1.915 6.549
Ti 4.797 5.956 3.328
Ti 1.628 7.157 -0.159
Ti 3.544 0.366 5.254
Ti 0.497 5.039 1.529
Ti 4.676 -1.752 6.941
Ti 1.749 -0.551 3.454
Ti 4.797 3.490 0.234
Ti 0.901 2.133 1.903
Ti 3.949 1.379 2.504
Se 6.054 -0.071 5.602
Se 3.006 5.477 1.181
S 2.835 5.378 4.763
S 5.882 3.443 6.305
S 2.097 1.912 4.021
S 5.144 3.493 2.761
S 5.882 0.027 2.020
S 2.835 1.963 0.478
```

Values from the calculation:
energy	-0.269	hartree per atom
size of the total moment	0.00	μB per cell
formation energy without anion corrections	-1.000	eV/atom